Here is a geometry-optimized KCoClF2 structure from the Alexandria database. Energies are from PBE+U.

Structure (POSCAR):
```
KCoClF2
1.0
4.183 0.000 0.000
0.000 4.183 0.000
0.000 0.000 4.930
K Co Cl F
1 1 1 2
direct
0.000 0.000 0.000
0.500 0.500 0.500
0.500 0.500 0.000
0.000 0.500 0.500
0.500 0.000 0.500
```

Results
The space-group type is P4/mmm, No. 123. The relative energy among the computed polymorphs is 12 meV/atom. The value obtained for the total DFT energy (no corrections) is -4.34 eV per atom. The total magnetization is 2.94 μB/cell.